First-principles (GGA-PBE) data for an optimized crystal structure of Fe2Co3Pt2, as listed in Alexandria.

Calculated values
- magnetization (μB per formula unit) = 11.3
- calculated formation energy (meV per atom) = -76
- density of states at the Fermi level (states/eV/f.u.) = 7.22
- final energy (eV/atom) = -7.27

a = 8.2514 Å, b = 3.7139 Å, c = 5.8911 Å
α = 90.00°, β = 99.01°, γ = 90.00°
Space group C2/m (No. 12)
One atom of each set of equivalent atoms:
Fe1 0.1368 0.0000 0.4265 (multiplicity 4)
Co1 0.0000 0.0000 0.0000 (multiplicity 2)
Co2 0.0676 0.5000 0.7038 (multiplicity 4)
Pt1 0.2138 0.5000 0.1533 (multiplicity 4)